Model one:
# PrSm5Er2 (PBE, relaxed)
# - ρ: 7.43 g/cm3
# - Fermi-level density of states: 1.512 states/eV per atom
# - Space group: P2_1/m (11)
data_PrSm5Er2
_cell_length_a 8.9569
_cell_length_b 16.6350
_cell_length_c 11.4281
_cell_angle_alpha 90.00
_cell_angle_beta 90.00
_cell_angle_gamma 161.20
_symmetry_space_group_name_H-M 'P 1'
_symmetry_Int_Tables_number 1
_symmetry_space_group_name_Hall 'P 1'
loop_
_atom_site_label
_atom_site_type_symbol
_atom_site_fract_x
_atom_site_fract_y
_atom_site_fract_z
Pr1 Pr 0.3573 0.8507 0.7500
Pr2 Pr 0.6427 0.1493 0.2500
Sm1 Sm 0.3888 0.0490 0.9233
Sm2 Sm 0.3888 0.0490 0.5767
Sm3 Sm 0.4911 0.6848 0.4235
Sm4 Sm 0.4911 0.6848 0.0765
Sm5 Sm 0.5524 0.3193 0.2500
Sm6 Sm 0.4476 0.6807 0.7500
Sm7 Sm 0.5089 0.3152 0.5765
Sm8 Sm 0.5089 0.3152 0.9235
Sm9 Sm 0.6112 0.9510 0.0767
Sm10 Sm 0.6112 0.9510 0.4233
Er1 Er 0.6742 0.5703 0.3820
Er2 Er 0.6742 0.5703 0.1180
Er3 Er 0.3258 0.4297 0.6180
Er4 Er 0.3258 0.4297 0.8820

***

Model two:
# PrSm5Er2 (PBE, relaxed)
# - ρ: 7.68 g/cm3
# - Fermi-level density of states: 1.420 states/eV per atom
# - Space group: Pbam (55)
data_PrSm5Er2
_cell_length_a 5.0888
_cell_length_b 7.2189
_cell_length_c 14.4389
_cell_angle_alpha 90.00
_cell_angle_beta 90.00
_cell_angle_gamma 90.00
_symmetry_space_group_name_H-M 'P 1'
_symmetry_Int_Tables_number 1
_symmetry_space_group_name_Hall 'P 1'
loop_
_atom_site_label
_atom_site_type_symbol
_atom_site_fract_x
_atom_site_fract_y
_atom_site_fract_z
Pr1 Pr 0.0000 0.0000 0.5000
Pr2 Pr 0.0000 0.5000 0.0000
Sm1 Sm 0.0000 0.0000 0.0000
Sm2 Sm 0.0000 0.5000 0.5000
Sm3 Sm 0.0000 0.4986 0.7493
Sm4 Sm 0.0000 0.5014 0.2507
Sm5 Sm 0.0000 0.0014 0.2493
Sm6 Sm 0.0000 0.9986 0.7507
Sm7 Sm 0.5000 0.2484 0.8743
Sm8 Sm 0.5000 0.7516 0.1257
Sm9 Sm 0.5000 0.2516 0.3743
Sm10 Sm 0.5000 0.7484 0.6257
Er1 Er 0.5000 0.2495 0.6255
Er2 Er 0.5000 0.7505 0.3745
Er3 Er 0.5000 0.2505 0.1255
Er4 Er 0.5000 0.7495 0.8745

***

Most stable of them? model two.

***

Model one:
# Pr3Sm7Er (PBE, relaxed)
# - ρ: 6.97 g/cm3
# - Fermi-level density of states: 1.417 states/eV per atom
# - Space group: C2/m (12)
data_Pr3Sm7Er
_cell_length_a 6.4976
_cell_length_b 7.8097
_cell_length_c 7.8091
_cell_angle_alpha 81.99
_cell_angle_beta 86.65
_cell_angle_gamma 86.64
_symmetry_space_group_name_H-M 'P 1'
_symmetry_Int_Tables_number 1
_symmetry_space_group_name_Hall 'P 1'
loop_
_atom_site_label
_atom_site_type_symbol
_atom_site_fract_x
_atom_site_fract_y
_atom_site_fract_z
Pr1 Pr 0.0000 0.8264 0.1736
Pr2 Pr 0.5000 0.0000 0.0000
Pr3 Pr 0.0000 0.1736 0.8264
Sm1 Sm 0.7858 0.2411 0.2411
Sm2 Sm 0.7382 0.9118 0.5704
Sm3 Sm 0.2618 0.4296 0.0882
Sm4 Sm 0.7382 0.5704 0.9118
Sm5 Sm 0.0000 0.5000 0.5000
Sm6 Sm 0.2618 0.0882 0.4296
Sm7 Sm 0.2142 0.7589 0.7589
Er1 Er 0.5000 0.5000 0.5000

***

Model two:
# Pr3Sm7Er (PBE, relaxed)
# - ρ: 6.89 g/cm3
# - Fermi-level density of states: 1.510 states/eV per atom
# - Space group: P3m1 (156)
data_Pr3Sm7Er
_cell_length_a 8.8087
_cell_length_b 7.2010
_cell_length_c 7.2010
_cell_angle_alpha 120.00
_cell_angle_beta 90.00
_cell_angle_gamma 90.00
_symmetry_space_group_name_H-M 'P 1'
_symmetry_Int_Tables_number 1
_symmetry_space_group_name_Hall 'P 1'
loop_
_atom_site_label
_atom_site_type_symbol
_atom_site_fract_x
_atom_site_fract_y
_atom_site_fract_z
Pr1 Pr 0.7822 0.4997 0.5003
Pr2 Pr 0.7822 0.4997 0.9994
Pr3 Pr 0.7822 0.0006 0.5003
Sm1 Sm 0.1191 0.1673 0.8327
Sm2 Sm 0.1191 0.1673 0.3346
Sm3 Sm 0.1235 0.6667 0.3333
Sm4 Sm 0.4484 0.8329 0.1671
Sm5 Sm 0.4484 0.3343 0.1671
Sm6 Sm 0.4484 0.8329 0.6657
Sm7 Sm 0.1191 0.6654 0.8327
Er1 Er 0.4425 0.3333 0.6667

***

Most stable of them? model two.

***

Model one:
# Pr2Sm2Er3 (PBE, relaxed)
# - ρ: 7.79 g/cm3
# - Fermi-level density of states: 1.441 states/eV per atom
# - Space group: C2/m (12)
data_Pr2Sm2Er3
_cell_length_a 5.1045
_cell_length_b 6.2231
_cell_length_c 9.5177
_cell_angle_alpha 57.07
_cell_angle_beta 74.45
_cell_angle_gamma 65.79
_symmetry_space_group_name_H-M 'P 1'
_symmetry_Int_Tables_number 1
_symmetry_space_group_name_Hall 'P 1'
loop_
_atom_site_label
_atom_site_type_symbol
_atom_site_fract_x
_atom_site_fract_y
_atom_site_fract_z
Pr1 Pr 0.2135 0.7181 0.8549
Pr2 Pr 0.7865 0.2819 0.1451
Sm1 Sm 0.0715 0.5679 0.2891
Sm2 Sm 0.9285 0.4321 0.7109
Er1 Er 0.5000 0.0000 0.0000
Er2 Er 0.3576 0.8567 0.4280
Er3 Er 0.6424 0.1433 0.5720

***

Model two:
# Pr2Sm2Er3 (PBE, relaxed)
# - ρ: 7.63 g/cm3
# - Fermi-level density of states: 1.653 states/eV per atom
# - Space group: P2_1/c (14)
data_Pr2Sm2Er3
_cell_length_a 6.4520
_cell_length_b 11.4628
_cell_length_c 6.4141
_cell_angle_alpha 90.00
_cell_angle_beta 84.29
_cell_angle_gamma 90.00
_symmetry_space_group_name_H-M 'P 1'
_symmetry_Int_Tables_number 1
_symmetry_space_group_name_Hall 'P 1'
loop_
_atom_site_label
_atom_site_type_symbol
_atom_site_fract_x
_atom_site_fract_y
_atom_site_fract_z
Pr1 Pr 0.5380 0.3491 0.5416
Pr2 Pr 0.9620 0.8491 0.4584
Pr3 Pr 0.0380 0.1509 0.5416
Pr4 Pr 0.4620 0.6509 0.4584
Sm1 Sm 0.7780 0.7238 0.8920
Sm2 Sm 0.2780 0.7762 0.8920
Sm3 Sm 0.7220 0.2238 0.1080
Sm4 Sm 0.2220 0.2762 0.1080
Er1 Er 0.5000 0.5000 0.0000
Er2 Er 0.0000 0.0000 0.0000
Er3 Er 0.5404 0.0405 0.7450
Er4 Er 0.9596 0.5405 0.2550
Er5 Er 0.0404 0.4595 0.7450
Er6 Er 0.4596 0.9595 0.2550

***

Most stable of them? model one.

***

Model one:
# Pr4Sm2Er3 (PBE, relaxed)
# - ρ: 7.46 g/cm3
# - Fermi-level density of states: 1.358 states/eV per atom
# - Space group: C2/m (12)
data_Pr4Sm2Er3
_cell_length_a 5.1390
_cell_length_b 6.2696
_cell_length_c 10.8778
_cell_angle_alpha 73.49
_cell_angle_beta 89.98
_cell_angle_gamma 65.84
_symmetry_space_group_name_H-M 'P 1'
_symmetry_Int_Tables_number 1
_symmetry_space_group_name_Hall 'P 1'
loop_
_atom_site_label
_atom_site_type_symbol
_atom_site_fract_x
_atom_site_fract_y
_atom_site_fract_z
Pr1 Pr 0.6662 0.6677 0.8880
Pr2 Pr 0.0020 0.9962 0.3342
Pr3 Pr 0.9980 0.0038 0.6657
Pr4 Pr 0.3338 0.3323 0.1120
Sm1 Sm 0.3319 0.3361 0.7752
Sm2 Sm 0.6681 0.6639 0.2248
Er1 Er 0.3341 0.3316 0.4466
Er2 Er 0.0000 0.0000 0.0000
Er3 Er 0.6659 0.6684 0.5534

***

Model two:
# Pr4Sm2Er3 (PBE, relaxed)
# - ρ: 7.49 g/cm3
# - Fermi-level density of states: 1.337 states/eV per atom
# - Space group: C2/c (15)
data_Pr4Sm2Er3
_cell_length_a 6.2518
_cell_length_b 11.4231
_cell_length_c 11.4231
_cell_angle_alpha 62.53
_cell_angle_beta 62.09
_cell_angle_gamma 62.09
_symmetry_space_group_name_H-M 'P 1'
_symmetry_Int_Tables_number 1
_symmetry_space_group_name_Hall 'P 1'
loop_
_atom_site_label
_atom_site_type_symbol
_atom_site_fract_x
_atom_site_fract_y
_atom_site_fract_z
Pr1 Pr 0.4171 0.9076 0.1892
Pr2 Pr 0.0829 0.8108 0.0924
Pr3 Pr 0.5829 0.0924 0.8108
Pr4 Pr 0.9171 0.1892 0.9076
Pr5 Pr 0.0814 0.1444 0.4271
Pr6 Pr 0.4186 0.5729 0.8556
Pr7 Pr 0.9186 0.8556 0.5729
Pr8 Pr 0.5814 0.4271 0.1444
Sm1 Sm 0.4158 0.2446 0.5207
Sm2 Sm 0.0842 0.4793 0.7554
Sm3 Sm 0.5842 0.7554 0.4793
Sm4 Sm 0.9158 0.5207 0.2446
Er1 Er 0.7444 0.0657 0.2692
Er2 Er 0.7556 0.7308 0.9343
Er3 Er 0.2556 0.9343 0.7308
Er4 Er 0.2444 0.2692 0.0657
Er5 Er 0.2500 0.6008 0.3992
Er6 Er 0.7500 0.3992 0.6008

***

Most stable of them? model one.

***

Model one:
# Pr3Sm4Er (PBE, relaxed)
# - ρ: 7.15 g/cm3
# - Fermi-level density of states: 1.758 states/eV per atom
# - Space group: Pmn2_1 (31)
data_Pr3Sm4Er
_cell_length_a 6.3753
_cell_length_b 7.3827
_cell_length_c 11.7648
_cell_angle_alpha 90.00
_cell_angle_beta 90.00
_cell_angle_gamma 90.00
_symmetry_space_group_name_H-M 'P 1'
_symmetry_Int_Tables_number 1
_symmetry_space_group_name_Hall 'P 1'
loop_
_atom_site_label
_atom_site_type_symbol
_atom_site_fract_x
_atom_site_fract_y
_atom_site_fract_z
Pr1 Pr 0.6476 0.6272 0.0000
Pr2 Pr 0.9810 0.6249 0.2498
Pr3 Pr 0.4810 0.3751 0.2502
Pr4 Pr 0.1476 0.3728 0.5000
Pr5 Pr 0.4810 0.3751 0.7498
Pr6 Pr 0.9810 0.6249 0.7502
Sm1 Sm 0.1497 0.8765 0.0000
Sm2 Sm 0.6471 0.1244 0.0000
Sm3 Sm 0.9812 0.1244 0.2471
Sm4 Sm 0.4812 0.8756 0.2529
Sm5 Sm 0.1471 0.8756 0.5000
Sm6 Sm 0.6497 0.1235 0.5000
Sm7 Sm 0.4812 0.8756 0.7471
Sm8 Sm 0.9812 0.1244 0.7529
Er1 Er 0.1463 0.3735 0.0000
Er2 Er 0.6463 0.6265 0.5000

***

Model two:
# Pr3Sm4Er (PBE, relaxed)
# - ρ: 7.09 g/cm3
# - Fermi-level density of states: 1.472 states/eV per atom
# - Space group: C2/m (12)
data_Pr3Sm4Er
_cell_length_a 3.4959
_cell_length_b 6.2671
_cell_length_c 12.9113
_cell_angle_alpha 95.08
_cell_angle_beta 97.78
_cell_angle_gamma 90.00
_symmetry_space_group_name_H-M 'P 1'
_symmetry_Int_Tables_number 1
_symmetry_space_group_name_Hall 'P 1'
loop_
_atom_site_label
_atom_site_type_symbol
_atom_site_fract_x
_atom_site_fract_y
_atom_site_fract_z
Pr1 Pr 0.0000 0.5000 0.0000
Pr2 Pr 0.1444 0.7562 0.2887
Pr3 Pr 0.8556 0.2438 0.7113
Sm1 Sm 0.7214 0.2373 0.4428
Sm2 Sm 0.2786 0.7627 0.5572
Sm3 Sm 0.1058 0.2411 0.2116
Sm4 Sm 0.8942 0.7589 0.7884
Er1 Er 0.5000 0.0000 0.0000

***

Most stable of them? model one.